(1)
The following is a GGA-PBE calculation of a relaxed Ge2TePIr crystal, from Alexandria via LeMat-Bulk.

The magnetic moment is 0.00 μB per cell. The uncorrected formation energy is 0.198 eV per atom. The calculated total energy comes out at -25.7 eV for the cell shown.

The structure belongs to space group P4/mmm (No. 123); the cell edges are 5.083, 5.083 and 4.406 Å and the angles 90.00°, 90.00° and 90.00°. Symmetry generates all atoms from Ge at (0.000, 0.500, 0.000), Te at (0.000, 0.000, 0.500), P at (0.500, 0.500, 0.500) and Ir at (0.500, 0.500, 0.000).

(2)
The following is a GGA-PBE calculation of a relaxed AlSbTe2 crystal, from Alexandria via LeMat-Bulk.

The magnetic moment is 0.00 μB per cell. The energy above the most stable polymorph in this dataset is 0.25 kcal/mol of atoms. The uncorrected formation energy is -0.076 eV per atom. The calculated total energy comes out at -14.5 eV for the cell shown.

The structure belongs to space group Pm (No. 6); the cell edges are 5.046, 4.099 and 6.195 Å and the angles 90.00°, 112.34° and 90.00°. Symmetry generates all atoms from Al at (0.000, 0.000, 0.000), Sb at (0.141, 0.500, 0.705), Te at (0.387, 0.000, 0.458) and Te at (0.687, 0.500, 0.089).

(3)
The following is a GGA-PBE calculation of a relaxed Cu2Ni2Os crystal, from Alexandria via LeMat-Bulk.

The magnetic moment is 1.47 μB per cell. The calculated total energy comes out at -58.6 eV for the cell shown.

The structure belongs to space group P4/mbm (No. 127); the cell edges are 6.806, 6.806 and 2.600 Å and the angles 90.00°, 90.00° and 90.00°. Symmetry generates all atoms from Cu at (0.123, 0.377, 0.000), Ni at (0.177, 0.677, 0.500) and Os at (0.000, 0.000, 0.000).

- What is the magnetic moment in the first record?
  0.00 μB per cell

- Which formula does entry 1 have?
  Ge2TePIr